Entry 1:
# K2RbRhBr6

A geometry-optimized K2RbRhBr6 structure (PBE-GGA, Alexandria via LeMat-Bulk).

CIF file:
```
data_K2RbRhBr6
_space_group_name_H-M_alt 'P m m n'
_space_group_IT_number 59
_cell_length_a 7.423
_cell_length_b 11.340
_cell_length_c 9.227
_cell_angle_alpha 90.00
_cell_angle_beta 90.00
_cell_angle_gamma 90.00
loop_
_space_group_symop_operation_xyz
'x,y,z'
'-x,-y,-z'
'-x+1/2,-y+1/2,z'
'x+1/2,y+1/2,-z'
'x+1/2,-y,-z'
'-x+1/2,y,z'
'-x,y+1/2,-z'
'x,-y+1/2,z'
loop_
_atom_site_label
_atom_site_fract_x
_atom_site_fract_y
_atom_site_fract_z
K1 0.250 0.055 0.163
Rb1 0.250 0.250 0.672
Rh1 0.250 0.750 0.819
Br1 0.007 0.750 0.629
Br2 0.016 0.750 0.018
Br3 0.250 0.528 0.818
```

---

Entry 2:
# KRb2RhBr6

A geometry-optimized KRb2RhBr6 structure (PBE-GGA, Alexandria via LeMat-Bulk).

CIF file:
```
data_KRb2RhBr6
_space_group_name_H-M_alt 'P m m n'
_space_group_IT_number 59
_cell_length_a 7.618
_cell_length_b 11.257
_cell_length_c 8.559
_cell_angle_alpha 90.00
_cell_angle_beta 90.00
_cell_angle_gamma 90.00
loop_
_space_group_symop_operation_xyz
'x,y,z'
'-x,-y,-z'
'-x+1/2,-y+1/2,z'
'x+1/2,y+1/2,-z'
'x+1/2,-y,-z'
'-x+1/2,y,z'
'-x,y+1/2,-z'
'x,-y+1/2,z'
loop_
_atom_site_label
_atom_site_fract_x
_atom_site_fract_y
_atom_site_fract_z
K1 0.250 0.250 0.202
Rb1 0.250 0.029 0.700
Rh1 0.250 0.750 0.291
Br1 0.015 0.750 0.084
Br2 0.019 0.750 0.502
Br3 0.250 0.526 0.291
```

- E above lowest polymorph: 0 meV per atom

---

Computed raw formation energy, in the same sequence as the records: -1162.7, -1177.5 meV/atom.